NaCrTcO2 | PBE+U | optimized geometry

a = 3.8847 Å, b = 5.0833 Å, c = 3.8847 Å
α = 90.00°, β = 90.00°, γ = 90.00°
With the nearest neighbours (Å) after each atom.
Fractional positions:
Cr: 0.0000 0.0000 0.0000  4 O 1.94
Tc: 0.5000 0.5000 0.5000  4 Na 2.75
O: 0.0000 0.0000 0.5000  2 Cr 1.94
O: 0.5000 0.0000 0.0000  2 Cr 1.94
Na: 0.0000 0.5000 0.0000  2 Cr 2.54, 4 Tc 2.75

Properties
Energy (eV/atom): -5.4546
Total magnetic moment (μB per cell): 0.7
Fermi-level density of states (states/eV per cell): 2.33